Entry 1:
# CdNi2Ru PBE-GGA relaxed
data_CdNi2Ru
_space_group_name_H-M_alt 'C 1 2/m 1'
_space_group_IT_number 12
_cell_length_a 8.530
_cell_length_b 2.678
_cell_length_c 5.020
_cell_angle_alpha 90.00
_cell_angle_beta 98.05
_cell_angle_gamma 90.00
loop_
_space_group_symop_operation_xyz
'x,y,z'
'-x,-y,-z'
'-x,y,-z'
'x,-y,z'
'x+1/2,y+1/2,z'
'-x+1/2,-y+1/2,-z'
'-x+1/2,y+1/2,-z'
'x+1/2,-y+1/2,z'
loop_
_atom_site_label
_atom_site_fract_x
_atom_site_fract_y
_atom_site_fract_z
Cd1 0.000 0.000 0.000
Ni1 0.245 0.000 0.711
Ru1 0.000 0.500 0.500
# electronic total energy	-5.164	eV per atom
# energy of formation	274	meV per atom

=====

Entry 2:
# CdNi2Ru PBE-GGA relaxed
data_CdNi2Ru
_space_group_name_H-M_alt 'P 4/m m m'
_space_group_IT_number 123
_space_group_name_Hall '-P 4 2'
_cell_length_a 4.490
_cell_length_b 4.490
_cell_length_c 2.734
_cell_angle_alpha 90.00
_cell_angle_beta 90.00
_cell_angle_gamma 90.00
loop_
_atom_site_label
_atom_site_fract_x
_atom_site_fract_y
_atom_site_fract_z
Cd1 0.000 0.000 0.000
Ni1 0.000 0.500 0.500
Ru1 0.500 0.500 0.000
# electronic total energy	-5.175	eV per atom
# energy of formation	263	meV per atom

=====

Entry 3:
# CdNi2Ru PBE-GGA relaxed
data_CdNi2Ru
_space_group_name_H-M_alt 'A m m 2'
_space_group_IT_number 38
_cell_length_a 4.155
_cell_length_b 2.679
_cell_length_c 9.972
_cell_angle_alpha 90.00
_cell_angle_beta 90.00
_cell_angle_gamma 90.00
loop_
_space_group_symop_operation_xyz
'x,y,z'
'-x,-y,z'
'-x,y,z'
'x,-y,z'
'x,y+1/2,z+1/2'
'-x,-y+1/2,z+1/2'
'-x,y+1/2,z+1/2'
'x,-y+1/2,z+1/2'
loop_
_atom_site_label
_atom_site_fract_x
_atom_site_fract_y
_atom_site_fract_z
Cd1 0.000 0.000 0.000
Ni1 0.000 0.000 0.743
Ni2 0.500 0.000 0.610
Ru1 0.500 0.000 0.329
# electronic total energy	-5.222	eV per atom
# energy of formation	216	meV per atom

=====

Entry 4:
# CdNi2Ru PBE-GGA relaxed
data_CdNi2Ru
_space_group_name_H-M_alt 'P 4 m m'
_space_group_IT_number 99
_cell_length_a 2.783
_cell_length_b 2.783
_cell_length_c 7.173
_cell_angle_alpha 90.00
_cell_angle_beta 90.00
_cell_angle_gamma 90.00
loop_
_space_group_symop_operation_xyz
'x,y,z'
'-y,x,z'
'-x,-y,z'
'y,-x,z'
'-x,y,z'
'y,x,z'
'x,-y,z'
'-y,-x,z'
loop_
_atom_site_label
_atom_site_fract_x
_atom_site_fract_y
_atom_site_fract_z
Cd1 0.000 0.000 0.000
Ni1 0.000 0.000 0.477
Ni2 0.500 0.500 0.272
Ru1 0.500 0.500 0.694
# electronic total energy	-5.223	eV per atom
# energy of formation	216	meV per atom

=====

Entry 5:
# CdNiRu PBE-GGA relaxed
data_CdNiRu
_space_group_name_H-M_alt 'I 4 m m'
_space_group_IT_number 107
_space_group_name_Hall 'I 4 -2'
_cell_length_a 2.790
_cell_length_b 2.790
_cell_length_c 11.493
_cell_angle_alpha 90.00
_cell_angle_beta 90.00
_cell_angle_gamma 90.00
loop_
_atom_site_label
_atom_site_fract_x
_atom_site_fract_y
_atom_site_fract_z
Cd1 0.000 0.000 0.000
Ni1 0.000 0.000 0.675
Ru1 0.000 0.000 0.310
# electronic total energy	-5.102	eV per atom
# energy of formation	222	meV per atom
# excess energy over the best structure of this formula in the dataset	0.06	eV per formula unit

=====

Entry 6:
# CdNiRu PBE-GGA relaxed
data_CdNiRu
_space_group_name_H-M_alt 'F -4 3 m'
_space_group_IT_number 216
_space_group_name_Hall 'F -4 2 3'
_cell_length_a 5.884
_cell_length_b 5.884
_cell_length_c 5.884
_cell_angle_alpha 90.00
_cell_angle_beta 90.00
_cell_angle_gamma 90.00
loop_
_atom_site_label
_atom_site_fract_x
_atom_site_fract_y
_atom_site_fract_z
Cd1 0.000 0.000 0.000
Ni1 0.250 0.250 0.750
Ru1 0.000 0.000 0.500
# electronic total energy	-4.806	eV per atom
# energy of formation	519	meV per atom
# excess energy over the best structure of this formula in the dataset	0.95	eV per formula unit

=====

Entry 7:
# CdNi2Ru PBE-GGA relaxed
data_CdNi2Ru
_space_group_name_H-M_alt 'I m m 2'
_space_group_IT_number 44
_cell_length_a 2.729
_cell_length_b 4.472
_cell_length_c 9.099
_cell_angle_alpha 90.00
_cell_angle_beta 90.00
_cell_angle_gamma 90.00
loop_
_space_group_symop_operation_xyz
'x,y,z'
'-x,-y,z'
'-x,y,z'
'x,-y,z'
'x+1/2,y+1/2,z+1/2'
'-x+1/2,-y+1/2,z+1/2'
'-x+1/2,y+1/2,z+1/2'
'x+1/2,-y+1/2,z+1/2'
loop_
_atom_site_label
_atom_site_fract_x
_atom_site_fract_y
_atom_site_fract_z
Cd1 0.000 0.000 0.000
Ni1 0.000 0.000 0.487
Ni2 0.000 0.500 0.762
Ru1 0.000 0.500 0.220
# electronic total energy	-5.176	eV per atom
# energy of formation	263	meV per atom

=====

Entry 8:
# CdNiRu3 PBE-GGA relaxed
data_CdNiRu3
_space_group_name_H-M_alt 'P m -3 m'
_space_group_IT_number 221
_space_group_name_Hall '-P 4 2 3'
_cell_length_a 4.506
_cell_length_b 4.506
_cell_length_c 4.506
_cell_angle_alpha 90.00
_cell_angle_beta 90.00
_cell_angle_gamma 90.00
loop_
_atom_site_label
_atom_site_fract_x
_atom_site_fract_y
_atom_site_fract_z
Cd1 0.000 0.000 0.000
Ni1 0.500 0.500 0.500
Ru1 0.000 0.500 0.500
# electronic total energy	-5.601	eV per atom
# energy of formation	1304	meV per atom
# excess energy over the best structure of this formula in the dataset	0.00	eV per formula unit

=====

Entry 9:
# CdNi2Ru PBE-GGA relaxed
data_CdNi2Ru
_space_group_name_H-M_alt 'P 4/m m m'
_space_group_IT_number 123
_space_group_name_Hall '-P 4 2'
_cell_length_a 2.726
_cell_length_b 2.726
_cell_length_c 7.454
_cell_angle_alpha 90.00
_cell_angle_beta 90.00
_cell_angle_gamma 90.00
loop_
_atom_site_label
_atom_site_fract_x
_atom_site_fract_y
_atom_site_fract_z
Cd1 0.000 0.000 0.000
Ni1 0.500 0.500 0.273
Ru1 0.000 0.000 0.500
# electronic total energy	-5.299	eV per atom
# energy of formation	139	meV per atom

=====

Entry 10:
# Cd2Ni2Ru PBE-GGA relaxed
data_Cd2Ni2Ru
_space_group_name_H-M_alt 'P 4/m b m'
_space_group_IT_number 127
_space_group_name_Hall '-P 4 2ab'
_cell_length_a 6.266
_cell_length_b 6.266
_cell_length_c 4.043
_cell_angle_alpha 90.00
_cell_angle_beta 90.00
_cell_angle_gamma 90.00
loop_
_atom_site_label
_atom_site_fract_x
_atom_site_fract_y
_atom_site_fract_z
Cd1 0.177 0.323 0.000
Ni1 0.129 0.629 0.500
Ru1 0.000 0.000 0.500
# electronic total energy	-4.255	eV per atom
# energy of formation	279	meV per atom

=====

Entry 11:
# CdNiRu PBE-GGA relaxed
data_CdNiRu
_space_group_name_H-M_alt 'C 1 m 1'
_space_group_IT_number 8
_cell_length_a 13.843
_cell_length_b 2.764
_cell_length_c 4.686
_cell_angle_alpha 90.00
_cell_angle_beta 90.09
_cell_angle_gamma 90.00
loop_
_space_group_symop_operation_xyz
'x,y,z'
'x,-y,z'
'x+1/2,y+1/2,z'
'x+1/2,-y+1/2,z'
loop_
_atom_site_label
_atom_site_fract_x
_atom_site_fract_y
_atom_site_fract_z
Cd1 0.000 0.000 0.000
Cd2 0.146 0.000 0.500
Ni1 0.177 0.500 0.996
Ni2 0.469 0.000 0.495
Ru1 0.319 0.000 0.157
Ru2 0.327 0.500 0.657
# electronic total energy	-5.123	eV per atom
# energy of formation	201	meV per atom
# excess energy over the best structure of this formula in the dataset	0.00	eV per formula unit

=====

Entry 12:
# CdNi3Ru PBE-GGA relaxed
data_CdNi3Ru
_space_group_name_H-M_alt 'P m -3 m'
_space_group_IT_number 221
_space_group_name_Hall '-P 4 2 3'
_cell_length_a 4.504
_cell_length_b 4.504
_cell_length_c 4.504
_cell_angle_alpha 90.00
_cell_angle_beta 90.00
_cell_angle_gamma 90.00
loop_
_atom_site_label
_atom_site_fract_x
_atom_site_fract_y
_atom_site_fract_z
Cd1 0.000 0.000 0.000
Ni1 0.000 0.500 0.500
Ru1 0.500 0.500 0.500
# electronic total energy	-4.390	eV per atom
# energy of formation	1117	meV per atom
# excess energy over the best structure of this formula in the dataset	0.00	eV per formula unit